A plane-wave DFT calculation with PBE-GGA was carried out for a relaxed structure of Pm5Au2N.

- ΔE_f (raw): -646.0 meV/atom
- Total energy: -5.475 eV/atom
- Symmetry: Cmcm (63)

POSCAR file:
```
Pm5Au2N
1.0
2.602 -5.441 0.000
2.602 5.441 0.000
0.000 0.000 14.750
Pm Au N
10 4 2
Direct
0.099 0.901 0.626
0.099 0.901 0.874
0.251 0.749 0.250
0.400 0.600 0.626
0.400 0.600 0.874
0.600 0.400 0.126
0.600 0.400 0.374
0.749 0.251 0.750
0.901 0.099 0.126
0.901 0.099 0.374
0.250 0.750 0.053
0.250 0.750 0.447
0.750 0.250 0.553
0.750 0.250 0.947
0.249 0.751 0.750
0.751 0.249 0.250
```

A plane-wave DFT calculation with PBE-GGA was carried out for a relaxed structure of LaFeTc2.

- Total energy: -7.850 eV/atom
- Energy above the lowest structure with this stoichiometry: 0.481 eV per atom
- Symmetry: P4/mmm (123)
- ΔH_f (0 K): 0.68 eV/atom

POSCAR file:
```
LaFeTc2
1.0
3.793 0.000 0.000
0.000 3.793 0.000
0.000 0.000 4.922
La Fe Tc
1 1 2
Direct
0.000 0.000 0.000
0.500 0.500 0.000
0.000 0.500 0.500
0.500 0.000 0.500
```

A plane-wave DFT calculation with PBE-GGA was carried out for a relaxed structure of Tb6PS5.

- ΔE_f (raw): -1977.4 meV/atom
- Total energy: -6.463 eV/atom
- Symmetry: C2/m (12)

POSCAR file:
```
Tb6PS5
1.0
3.413 -5.919 0.000
3.413 5.919 0.000
-2.273 0.000 6.452
Tb P S
6 1 5
Direct
0.082 0.410 0.746
0.246 0.246 0.255
0.410 0.082 0.746
0.590 0.918 0.254
0.754 0.754 0.745
0.918 0.590 0.254
0.000 0.000 0.500
0.168 0.832 0.000
0.333 0.667 0.500
0.500 0.500 0.000
0.667 0.333 0.500
0.832 0.168 0.000
```

A plane-wave DFT calculation with PBE-GGA was carried out for a relaxed structure of U4S6Cl.

- ΔE_f (raw): -1351.7 meV/atom
- Total energy: -7.876 eV/atom
- Symmetry: P-6m2 (187)

POSCAR file:
```
U4S6Cl
1.0
8.455 0.000 0.000
-4.227 7.322 0.000
0.000 0.000 3.730
U S Cl
4 6 1
Direct
0.000 0.000 0.000
0.025 0.512 0.500
0.488 0.512 0.500
0.488 0.975 0.500
0.208 0.417 0.000
0.208 0.792 0.000
0.278 0.139 0.500
0.583 0.792 0.000
0.861 0.139 0.500
0.861 0.722 0.500
0.667 0.333 0.000
```